*i*
# TbPuZn4 GGA-PBE relaxed
data_TbPuZn4
_cell_length_a 7.739
_cell_length_b 7.739
_cell_length_c 7.739
_cell_angle_alpha 90.00
_cell_angle_beta 90.00
_cell_angle_gamma 90.00
_space_group_name_H-M_alt 'F -4 3 m'
_space_group_IT_number 216
_space_group_name_Hall 'F -4 2 3'
loop_
_atom_site_label
_atom_site_fract_x
_atom_site_fract_y
_atom_site_fract_z
Tb1 0.000 0.000 0.000
Pu1 0.250 0.250 0.750
Zn1 0.125 0.125 0.375
# crystal system: cubic

=====

*ii*
# TbPuZn4 GGA-PBE relaxed
data_TbPuZn4
_cell_length_a 4.093
_cell_length_b 4.093
_cell_length_c 15.389
_cell_angle_alpha 90.00
_cell_angle_beta 90.00
_cell_angle_gamma 90.00
_space_group_name_H-M_alt 'I -4 m 2'
_space_group_IT_number 119
_space_group_name_Hall 'I -4 -2'
loop_
_atom_site_label
_atom_site_fract_x
_atom_site_fract_y
_atom_site_fract_z
Tb1 0.000 0.000 0.000
Pu1 0.000 0.500 0.750
Zn1 0.000 0.000 0.419
Zn2 0.000 0.500 0.168
# crystal system: tetragonal

=====

Compare the structures above. Which one is the least stable? *ii* is.